Record 1
Here is a relaxed structure of TiFe2W from the Alexandria database. Energies are from GGA-PBE.

Lattice parameters (Å, degrees): 6.646 6.646 5.368 51.76 51.76 90.00
Each line ends with the local moment (μB).
Positions (direct):
W (0.750, 0.250, 0.500)  -0.07
W (0.000, 0.000, 0.000)  -0.07
Ti (0.250, 0.750, 0.500)  -0.09
Ti (0.500, 0.500, 0.000)  -0.10
Fe (0.120, 0.625, 0.250)  1.44
Fe (0.875, 0.880, 0.750)  1.46
Fe (0.375, 0.370, 0.750)  1.47
Fe (0.630, 0.125, 0.250)  1.45

Calculated values
The value obtained for the energy is -8.954 eV/atom. Its formation enthalpy at 0 K is 0.4893 eV/atom. The density of states at the Fermi level is 8.45 states/eV per cell. As for the calculated volume: 14.33 Å³/atom.

---

Record 2
Here is a relaxed structure of Ti3FeW from the Alexandria database. Energies are from GGA-PBE.

Lattice parameters (Å, degrees): 4.694 4.694 4.694 90.00 90.00 90.00
Positions (direct):
Fe (0.500, 0.500, 0.500)
Ti (0.000, 0.000, 0.500)
Ti (0.500, 0.000, 0.000)
Ti (0.000, 0.500, 0.000)
W (0.000, 0.000, 0.000)

Calculated values
The value obtained for the energy is -7.605 eV/atom. Its formation enthalpy at 0 K is 1.4150 eV/atom. The energy above the most stable polymorph in this dataset comes out at 807 meV per atom. The density of states at the Fermi level is 7.28 states/eV per cell. As for the calculated volume: 20.69 Å³/atom.